Here is a relaxed structure of Eu3Tl5Se12 from Alexandria. Energies are from PBE.

Values from the calculation:
Raw formation energy   -0.630 eV/atom

Unit cell a=14.7146 b=14.7146 c=14.7146 alpha=109.47 beta=109.47 gamma=109.47
Fractional positions:
Eu (0.1250, 0.2500, 0.3750)
Eu (0.1250, 0.3750, 0.7500)
Eu (0.2500, 0.3750, 0.1250)
Eu (0.2500, 0.8750, 0.6250)
Eu (0.3750, 0.1250, 0.2500)
Eu (0.3750, 0.7500, 0.1250)
Eu (0.6250, 0.2500, 0.8750)
Eu (0.6250, 0.8750, 0.7500)
Eu (0.7500, 0.1250, 0.3750)
Eu (0.7500, 0.6250, 0.8750)
Eu (0.8750, 0.6250, 0.2500)
Eu (0.8750, 0.7500, 0.6250)
Tl (0.0000, 0.0000, 0.0000)
Tl (0.0000, 0.0000, 0.5000)
Tl (0.0000, 0.5000, 0.0000)
Tl (0.0000, 0.5000, 0.5000)
Tl (0.1250, 0.7500, 0.8750)
Tl (0.1250, 0.8750, 0.2500)
Tl (0.2500, 0.1250, 0.8750)
Tl (0.2500, 0.6250, 0.3750)
Tl (0.3750, 0.2500, 0.6250)
Tl (0.3750, 0.6250, 0.7500)
Tl (0.5000, 0.0000, 0.0000)
Tl (0.5000, 0.0000, 0.5000)
Tl (0.5000, 0.5000, 0.0000)
Tl (0.5000, 0.5000, 0.5000)
Tl (0.6250, 0.3750, 0.2500)
Tl (0.6250, 0.7500, 0.3750)
Tl (0.7500, 0.3750, 0.6250)
Tl (0.7500, 0.8750, 0.1250)
Tl (0.8750, 0.1250, 0.7500)
Tl (0.8750, 0.2500, 0.1250)
Se (0.0487, 0.2204, 0.1351)
Se (0.0487, 0.3283, 0.9136)
Se (0.0853, 0.7204, 0.6717)
Se (0.0853, 0.8649, 0.4136)
Se (0.0864, 0.6351, 0.4147)
Se (0.0864, 0.9513, 0.6717)
Se (0.1351, 0.0487, 0.2204)
Se (0.1351, 0.5864, 0.9147)
Se (0.1717, 0.2204, 0.5853)
Se (0.1717, 0.4513, 0.5864)
Se (0.2204, 0.1351, 0.0487)
Se (0.2204, 0.5853, 0.1717)
Se (0.2796, 0.3283, 0.9147)
Se (0.2796, 0.4513, 0.3649)
Se (0.3283, 0.9136, 0.0487)
Se (0.3283, 0.9147, 0.2796)
Se (0.3649, 0.2796, 0.4513)
Se (0.3649, 0.5853, 0.9136)
Se (0.4136, 0.0853, 0.8649)
Se (0.4136, 0.8283, 0.5487)
Se (0.4147, 0.0864, 0.6351)
Se (0.4147, 0.8283, 0.7796)
Se (0.4513, 0.3649, 0.2796)
Se (0.4513, 0.5864, 0.1717)
Se (0.5487, 0.4136, 0.8283)
Se (0.5487, 0.6351, 0.7204)
Se (0.5853, 0.1717, 0.2204)
Se (0.5853, 0.9136, 0.3649)
Se (0.5864, 0.1717, 0.4513)
Se (0.5864, 0.9147, 0.1351)
Se (0.6351, 0.4147, 0.0864)
Se (0.6351, 0.7204, 0.5487)
Se (0.6717, 0.0853, 0.7204)
Se (0.6717, 0.0864, 0.9513)
Se (0.7204, 0.5487, 0.6351)
Se (0.7204, 0.6717, 0.0853)
Se (0.7796, 0.4147, 0.8283)
Se (0.7796, 0.8649, 0.9513)
Se (0.8283, 0.5487, 0.4136)
Se (0.8283, 0.7796, 0.4147)
Se (0.8649, 0.4136, 0.0853)
Se (0.8649, 0.9513, 0.7796)
Se (0.9136, 0.0487, 0.3283)
Se (0.9136, 0.3649, 0.5853)
Se (0.9147, 0.1351, 0.5864)
Se (0.9147, 0.2796, 0.3283)
Se (0.9513, 0.6717, 0.0864)
Se (0.9513, 0.7796, 0.8649)